No. 1
An optimized crystal structure of Sc2NiAs2Pt, computed with PBE.

Output
Its volume is 435 Å³/cell. The value obtained for the calculated total energy is -159.40 eV/cell.

a = 7.3811 Å, b = 4.2396 Å, c = 14.0863 Å
α = 90.00°, β = 99.65°, γ = 90.00°
Closest atoms and distances in Å follow each position.
Positions (direct):
Ni1 0.0024 0.5000 0.5045  4 As 2.50-2.58, 4 Sc 2.54-2.58
Ni2 0.2476 0.0000 0.7466  4 As 2.54-2.57, 4 Sc 2.55-2.56
Ni3 0.4990 0.0000 0.5037  4 As 2.49-2.60, 4 Sc 2.54-2.58
Ni4 0.0016 0.0000 0.9974  4 As 2.54-2.56, 4 Sc 2.55-2.56
As1 0.5629 0.5000 0.1873  4 Pt 2.61-2.65
As2 0.0697 0.5000 0.6844  3 Ni 2.50-2.57, 1 Pt 2.67
As3 0.3141 0.5000 0.4455  3 Ni 2.57-2.58, 1 Pt 2.70
As4 0.0615 0.0000 0.1812  1 Ni 2.55, 3 Pt 2.64-2.65
As5 0.5495 0.0000 0.6831  2 Ni 2.49-2.54, 2 Pt 2.66
As6 0.8234 0.5000 0.9385  2 Ni 2.56, 2 Pt 2.64-2.66
As7 0.8165 0.0000 0.4465  3 Ni 2.58-2.60, 1 Pt 2.69
As8 0.3008 0.0000 0.9307  2 Ni 2.54-2.56, 2 Pt 2.65
Pt1 0.7493 0.5000 0.7482  4 Sc 2.63-2.65, 4 As 2.64-2.67
Pt2 0.4987 0.5000 0.9969  4 Sc 2.64-2.65, 4 As 2.65-2.66
Pt3 0.7518 0.0000 0.2525  4 As 2.62-2.69, 4 Sc 2.64-2.67
Pt4 0.2503 0.5000 0.2511  4 As 2.61-2.70, 4 Sc 2.63-2.68
Sc1 0.6968 0.0000 0.0604  1 Ni 2.55, 3 Pt 2.64-2.67
Sc2 0.9465 0.0000 0.8128  2 Ni 2.55-2.56, 2 Pt 2.65, 1 As 2.85
Sc3 0.6851 0.5000 0.5586  3 Ni 2.57-2.58, 1 Pt 2.63
Sc4 0.4252 0.5000 0.8059  2 Ni 2.56, 2 Pt 2.65
Sc5 0.9416 0.5000 0.3215  1 Ni 2.54, 3 Pt 2.63-2.64
Sc6 0.1871 0.0000 0.5632  4 Ni 2.55-2.58
Sc7 0.4400 0.0000 0.3211  1 Ni 2.54, 3 Pt 2.64
Sc8 0.1788 0.5000 0.0584  2 Ni 2.56, 2 Pt 2.65-2.68

***

No. 2
An optimized crystal structure of ScNiAsPt, computed with PBE.

Output
Its volume is 64 Å³/cell. The value obtained for the energy relative to the lowest polymorph listed for this composition is 37 meV per atom.

a = 4.4909 Å, b = 4.4909 Å, c = 4.4909 Å
α = 60.00°, β = 60.00°, γ = 60.00°
Closest atoms and distances in Å follow each position.
Positions (direct):
Sc1 0.2500 0.2500 0.2500  4 Pt 2.75, 4 As 2.75
As1 0.0000 0.0000 0.0000  4 Sc 2.75, 4 Ni 2.75
Pt1 0.5000 0.5000 0.5000  4 Sc 2.75, 4 Ni 2.75
Ni1 0.7500 0.7500 0.7500  4 Pt 2.75, 4 As 2.75

***

No. 3
An optimized crystal structure of ScNiAsPt, computed with PBE.

Output
Its volume is 63 Å³/cell. The value obtained for the energy relative to the lowest polymorph listed for this composition is 0 meV per atom.

a = 4.4648 Å, b = 4.4648 Å, c = 4.4648 Å
α = 60.00°, β = 60.00°, γ = 60.00°
Closest atoms and distances in Å follow each position.
Positions (direct):
Ni1 0.7500 0.7500 0.7500  4 Sc 2.73, 4 As 2.73
Sc1 0.5000 0.5000 0.5000  4 Ni 2.73, 4 Pt 2.73
As1 0.0000 0.0000 0.0000  4 Ni 2.73, 4 Pt 2.73
Pt1 0.2500 0.2500 0.2500  4 As 2.73, 4 Sc 2.73

***

No. 4
An optimized crystal structure of TaNiAsPt, computed with PBE.

Output
Its volume is 61 Å³/cell. The value obtained for the energy relative to the lowest polymorph listed for this composition is 0 meV per atom.

a = 4.4200 Å, b = 4.4200 Å, c = 4.4200 Å
α = 60.00°, β = 60.00°, γ = 60.00°
Closest atoms and distances in Å follow each position.
Positions (direct):
Ni1 0.7500 0.7500 0.7500  4 As 2.71, 4 Pt 2.71
Pt1 0.5000 0.5000 0.5000  4 Ta 2.71, 4 Ni 2.71
As1 0.0000 0.0000 0.0000  4 Ni 2.71, 4 Ta 2.71
Ta1 0.2500 0.2500 0.2500  4 Pt 2.71, 4 As 2.71

***

No. 5
An optimized crystal structure of TaNiAsPt, computed with PBE.

Output
Its volume is 63 Å³/cell. The value obtained for the energy relative to the lowest polymorph listed for this composition is 223 meV per atom.

a = 4.4620 Å, b = 4.4620 Å, c = 4.4620 Å
α = 60.00°, β = 60.00°, γ = 60.00°
Closest atoms and distances in Å follow each position.
Positions (direct):
Pt1 0.2500 0.2500 0.2500  4 As 2.73, 4 Ta 2.73
Ni1 0.7500 0.7500 0.7500  4 Ta 2.73, 4 As 2.73
Ta1 0.5000 0.5000 0.5000  4 Ni 2.73, 4 Pt 2.73
As1 0.0000 0.0000 0.0000  4 Pt 2.73, 4 Ni 2.73

***

No. 6
An optimized crystal structure of YNiAsPt, computed with PBE.

Output
Its volume is 71 Å³/cell. The value obtained for the calculated total energy is -24.81 eV/cell.

a = 4.6434 Å, b = 4.6434 Å, c = 4.6434 Å
α = 60.00°, β = 60.00°, γ = 60.00°
Closest atoms and distances in Å follow each position.
Positions (direct):
Ni1 0.7500 0.7500 0.7500  4 As 2.84, 4 Y 2.84
As1 0.0000 0.0000 0.0000  4 Ni 2.84, 4 Pt 2.84
Pt1 0.2500 0.2500 0.2500  4 Y 2.84, 4 As 2.84
Y1 0.5000 0.5000 0.5000  4 Pt 2.84, 4 Ni 2.84